Record 1
Entry from Alexandria via LeMat-Bulk: a geometry-optimized Zr2Zn3Pd2 structure (GGA-PBE).

The structure belongs to space group C2/m (No. 12); the cell edges are 9.231, 4.341 and 6.419 Å and the angles 90.00°, 110.51° and 90.00°. The asymmetric unit holds Zr at (0.145, 0.000, 0.265), Zn at (0.000, 0.500, 0.500), Zn at (0.111, 0.500, 0.932) and Pd at (0.149, 0.000, 0.703).

For the energy relative to the elements, the calculation gives -497.6 meV per atom. As for the density of states at the Fermi level: 9.21 states/eV per cell.



Record 2
Entry from Alexandria via LeMat-Bulk: a geometry-optimized Zr2ZnPd4 structure (GGA-PBE).

The structure belongs to space group P2_1/m (No. 11); the cell edges are 5.955, 5.243 and 8.400 Å and the angles 90.00°, 110.35° and 90.00°. The asymmetric unit holds Zr at (0.104, 0.250, 0.418), Zr at (0.292, 0.750, 0.010), Zn at (0.051, 0.250, 0.813), Pd at (0.220, 0.250, 0.139), Pd at (0.345, 0.750, 0.428) and Pd at (0.355, 0.505, 0.720).

For the energy relative to the elements, the calculation gives -548.0 meV per atom. As for the density of states at the Fermi level: 6.50 states/eV per cell.



Let's list final energy in order: -4.970; -6.140 eV per atom.